Entry 1:
Compound: Ba3AgSb2O8
Source: Alexandria
Functional: PBE
Structure: optimized geometry

a b c (Å): 6.1626 6.1626 7.9830
angles (deg): 90.00 90.00 120.00
Last column: nearest neighbours and their distance in Å.
Positions (direct):
O1 0.1680 0.3360 0.2960  1 Sb 1.95
O2 0.8320 0.1680 0.7040  1 Sb 1.95
O3 0.8320 0.6640 0.7040  1 Sb 1.95
O4 0.3333 0.6667 0.9492  1 Sb 1.94
O5 0.6640 0.8320 0.2960  1 Sb 1.95
O6 0.6667 0.3333 0.0508  1 Sb 1.94
O7 0.3360 0.1680 0.7040  1 Sb 1.95
O8 0.1680 0.8320 0.2960  1 Sb 1.95
Ag1 0.0000 0.0000 0.5000  6 O 2.42
Ba1 0.0000 0.0000 0.0000  6 O 2.97
Ba2 0.3333 0.6667 0.6410  1 O 2.46
Ba3 0.6667 0.3333 0.3590  1 O 2.46
Sb1 0.6667 0.3333 0.8082  4 O 1.94-1.95
Sb2 0.3333 0.6667 0.1918  4 O 1.94-1.95

Summary:
The spin magnetization is 0.000 μB/cell. For the density of states at the Fermi level, the calculation gives 1.969 states/eV per cell. The space group is P-3m1, No. 164. Its formation energy without anion corrections is -1.758 eV/atom. The crystal system is trigonal.

***

Entry 2:
Compound: Ba2AgSbO
Source: Alexandria
Functional: PBE
Structure: optimized geometry

a b c (Å): 4.5561 7.4492 9.1918
angles (deg): 107.87 90.00 90.00
Last column: nearest neighbours and their distance in Å.
Positions (direct):
Sb1 0.7500 0.3153 0.6958  2 Ag 2.74
Sb2 0.2500 0.6847 0.3042  2 Ag 2.74
Ag1 0.2500 0.5301 0.7510  1 O 2.32
Ag2 0.7500 0.4699 0.2490  1 O 2.32
Ba1 0.7500 0.8027 0.6260  2 O 2.96
Ba2 0.7500 0.7894 0.0308  1 O 2.54
Ba3 0.2500 0.1973 0.3740  2 O 2.96
Ba4 0.2500 0.2106 0.9692  1 O 2.54
O1 0.7500 0.1431 0.1599  1 Ag 2.32, 1 Ba 2.54
O2 0.2500 0.8569 0.8401  1 Ag 2.32, 1 Ba 2.54

Summary:
The spin magnetization is 0.000 μB/cell. The space group is P2_1/m, No. 11. Its formation energy without anion corrections is -1.311 eV/atom. The crystal system is monoclinic.